{
  "formula": "Li2Mg2InGePt2",
  "functional": "PBE",
  "state": "optimized geometry",
  "magnetic_moment_mub_per_fu": 0.00,
  "density_g_cm3": 8.26,
  "dft_energy_ev_per_cell": -31.42,
  "lattice": [[4.481, 0.000, 0.000], [0.000, 4.481, 0.000], [0.000, 0.000, 6.411]],
  "species": ["Li", "Li", "Mg", "Mg", "In", "Ge", "Pt", "Pt"],
  "frac_coords": [[0.000, 0.500, 0.232], [0.500, 0.000, 0.768], [0.000, 0.000, 0.000], [0.500, 0.500, 0.500], [0.000, 0.000, 0.500], [0.500, 0.500, 0.000], [0.000, 0.500, 0.769], [0.500, 0.000, 0.231]]
}

***

{
  "formula": "Li2Nb2InGeOs2",
  "functional": "PBE",
  "state": "optimized geometry",
  "magnetic_moment_mub_per_fu": 0.01,
  "density_g_cm3": 10.40,
  "dft_energy_ev_per_cell": -55.55,
  "lattice": [[4.416, 0.000, 0.000], [0.000, 4.416, 0.000], [0.000, 0.000, 6.289]],
  "species": ["Li", "Li", "Nb", "Nb", "In", "Ge", "Os", "Os"],
  "frac_coords": [[0.000, 0.500, 0.240], [0.500, 0.000, 0.760], [0.000, 0.000, 0.000], [0.500, 0.500, 0.500], [0.000, 0.000, 0.500], [0.500, 0.500, 0.000], [0.000, 0.500, 0.763], [0.500, 0.000, 0.237]]
}

***

{
  "formula": "Li4InNi2Ge",
  "functional": "PBE",
  "state": "optimized geometry",
  "magnetic_moment_mub_per_fu": 0.00,
  "density_g_cm3": 5.10,
  "dft_energy_ev_per_cell": -28.46,
  "lattice": [[4.211, 0.000, 0.000], [0.000, 4.211, 0.000], [0.000, 0.000, 6.103]],
  "species": ["Li", "Li", "Li", "Li", "In", "Ni", "Ni", "Ge"],
  "frac_coords": [[0.000, 0.000, 0.000], [0.000, 0.500, 0.231], [0.500, 0.000, 0.769], [0.500, 0.500, 0.500], [0.000, 0.000, 0.500], [0.000, 0.500, 0.780], [0.500, 0.000, 0.220], [0.500, 0.500, 0.000]]
}

***

{
  "formula": "LiInGePd",
  "functional": "PBE",
  "state": "optimized geometry",
  "polymorph_energy_mev_per_atom": 110.2,
  "density_g_cm3": 7.24,
  "dft_energy_ev_per_cell": -61.68,
  "lattice": [[6.512, 0.000, 0.000], [0.000, 6.512, 0.000], [0.000, 0.000, 6.512]],
  "species": ["Li", "Li", "Li", "Li", "In", "In", "In", "In", "Ge", "Ge", "Ge", "Ge", "Pd", "Pd", "Pd", "Pd"],
  "frac_coords": [[0.000, 0.000, 0.000], [0.000, 0.500, 0.500], [0.500, 0.000, 0.500], [0.500, 0.500, 0.000], [0.250, 0.250, 0.750], [0.250, 0.750, 0.250], [0.750, 0.250, 0.250], [0.750, 0.750, 0.750], [0.000, 0.000, 0.500], [0.000, 0.500, 0.000], [0.500, 0.000, 0.000], [0.500, 0.500, 0.500], [0.250, 0.250, 0.250], [0.250, 0.750, 0.750], [0.750, 0.250, 0.750], [0.750, 0.750, 0.250]]
}

***

What did the second record say?
{
  "formula": "Li2Nb2InGeOs2",
  "functional": "PBE",
  "state": "optimized geometry",
  "magnetic_moment_mub_per_fu": 0.01,
  "density_g_cm3": 10.40,
  "dft_energy_ev_per_cell": -55.55,
  "lattice": [[4.416, 0.000, 0.000], [0.000, 4.416, 0.000], [0.000, 0.000, 6.289]],
  "species": ["Li", "Li", "Nb", "Nb", "In", "Ge", "Os", "Os"],
  "frac_coords": [[0.000, 0.500, 0.240], [0.500, 0.000, 0.760], [0.000, 0.000, 0.000], [0.500, 0.500, 0.500], [0.000, 0.000, 0.500], [0.500, 0.500, 0.000], [0.000, 0.500, 0.763], [0.500, 0.000, 0.237]]
}